Entry 1:
Density functional theory data (GGA-PBE) for a relaxed structure of Dy2SiNi.

* space-group type: Pmn2_1 (31)
* total energy: -45.5 eV/cell

Unit cell a=4.034 b=7.329 c=5.696 alpha=90.00 beta=90.00 gamma=90.00
Positions (direct):
Dy (0.000, 0.059, 0.000)
Dy (0.000, 0.589, 0.764)
Dy (0.500, 0.411, 0.264)
Dy (0.500, 0.941, 0.500)
Si (0.000, 0.706, 0.264)
Si (0.500, 0.294, 0.764)
Ni (0.000, 0.220, 0.528)
Ni (0.500, 0.780, 0.028)

Entry 2:
Density functional theory data (GGA-PBE) for a relaxed structure of Pm2S.

* space-group type: Fd-3m (227)
* total energy: -26.9 eV/cell

Unit cell a=6.170 b=6.170 c=6.170 alpha=60.00 beta=60.00 gamma=60.00
Positions (direct):
Pm (0.000, 0.000, 0.000)
Pm (0.000, 0.000, 0.500)
Pm (0.000, 0.500, 0.000)
Pm (0.500, 0.000, 0.000)
S (0.375, 0.375, 0.375)
S (0.625, 0.625, 0.625)

Entry 3:
Density functional theory data (GGA-PBE) for a relaxed structure of ScCu2Ni.

* space-group type: F-43m (216)
* total energy: -20.2 eV/cell
* energy relative to the elements: -219.8 meV/atom

Unit cell a=4.271 b=4.271 c=4.271 alpha=60.00 beta=60.00 gamma=60.00
Positions (direct):
Sc (0.000, 0.000, 0.000)
Cu (0.500, 0.500, 0.500)
Cu (0.750, 0.750, 0.750)
Ni (0.250, 0.250, 0.250)

Entry 4:
Density functional theory data (GGA-PBE) for a relaxed structure of Ba2HfGaS6.

* space-group type: Fm-3m (225)
* total energy: -55.2 eV/cell

Unit cell a=6.970 b=6.970 c=6.970 alpha=60.00 beta=60.00 gamma=60.00
Positions (direct):
Ba (0.250, 0.250, 0.250)
Ba (0.750, 0.750, 0.750)
Hf (0.000, 0.000, 0.000)
Ga (0.500, 0.500, 0.500)
S (0.254, 0.254, 0.746)
S (0.254, 0.746, 0.254)
S (0.254, 0.746, 0.746)
S (0.746, 0.254, 0.254)
S (0.746, 0.254, 0.746)
S (0.746, 0.746, 0.254)

Entry 5:
Density functional theory data (GGA-PBE) for a relaxed structure of BaURe.

* space-group type: F-43m (216)
* total energy: -21.8 eV/cell

Unit cell a=4.948 b=4.948 c=4.948 alpha=60.00 beta=60.00 gamma=60.00
Positions (direct):
Ba (0.000, 0.000, 0.000)
U (0.500, 0.500, 0.500)
Re (0.750, 0.750, 0.750)

Entry 6:
Density functional theory data (GGA-PBE) for a relaxed structure of CsNbIn.

* space-group type: F-43m (216)
* total energy: -7.8 eV/cell

Unit cell a=5.743 b=5.743 c=5.743 alpha=60.00 beta=60.00 gamma=60.00
Positions (direct):
Cs (0.000, 0.000, 0.000)
Nb (0.250, 0.250, 0.250)
In (0.750, 0.750, 0.750)

> Which formula does entry 5 have?

BaURe

What did the fifth record say?
Density functional theory data (GGA-PBE) for a relaxed structure of BaURe.

* space-group type: F-43m (216)
* total energy: -21.8 eV/cell

Unit cell a=4.948 b=4.948 c=4.948 alpha=60.00 beta=60.00 gamma=60.00
Positions (direct):
Ba (0.000, 0.000, 0.000)
U (0.500, 0.500, 0.500)
Re (0.750, 0.750, 0.750)

> What is the total energy in the first record?

-45.5 eV/cell

> The lowest total energy belongs to which entry?

Ba2HfGaS6